P) A relaxed PrHo3Pt crystal. Source: Alexandria, functional PBE-GGA.

Calculated values
- size of the total moment (μB per formula unit) = 0.0
- V (Å³ per cell) = 306

a = 7.5960 Å, b = 7.5960 Å, c = 6.1237 Å
α = 90.00°, β = 90.00°, γ = 120.00°
Space group P6_3/mmc (No. 194)
One atom of each set of equivalent atoms:
1 Pr 0.3333 0.6667 0.2500 (multiplicity 2)
2 Ho 0.1793 0.3585 0.7500 (multiplicity 6)
3 Pt 0.0000 0.0000 0.0000 (multiplicity 2)

***

Q) A relaxed PrHo3Pt crystal. Source: Alexandria, functional PBE-GGA.

Calculated values
- size of the total moment (μB per formula unit) = 0.0
- V (Å³ per cell) = 164

a = 5.474 Å, b = 5.474 Å, c = 5.474 Å
α = 90.00°, β = 90.00°, γ = 90.00°
Space group Pm-3m (No. 221)
One atom of each set of equivalent atoms:
1 Pr 0.000 0.000 0.000 (multiplicity 1)
2 Ho 0.000 0.500 0.500 (multiplicity 3)
3 Pt 0.500 0.500 0.500 (multiplicity 1)

***

It is P) that is the most stable of them.

***

P) A relaxed Pr2HoPt crystal. Source: Alexandria, functional PBE-GGA.

Calculated values
- size of the total moment (μB per formula unit) = 0.0
- V (Å³ per cell) = 117

a = 3.725 Å, b = 3.725 Å, c = 8.405 Å
α = 90.00°, β = 90.00°, γ = 90.00°
Space group P4/mmm (No. 123)
One atom of each set of equivalent atoms:
1 Pr 0.000 0.000 0.203 (multiplicity 2)
2 Ho 0.500 0.500 0.500 (multiplicity 1)
3 Pt 0.500 0.500 0.000 (multiplicity 1)

***

Q) A relaxed Pr2HoPt crystal. Source: Alexandria, functional PBE-GGA.

Calculated values
- size of the total moment (μB per formula unit) = 0.0
- V (Å³ per cell) = 405

a = 3.8057 Å, b = 3.8057 Å, c = 32.2584 Å
α = 90.00°, β = 90.00°, γ = 120.00°
Space group R-3m (No. 166, hexagonal axes)
One atom of each set of equivalent atoms:
1 Pr 0.0000 0.0000 0.1081 (multiplicity 6)
2 Ho 0.0000 0.0000 0.0000 (multiplicity 3)
3 Pt 0.0000 0.0000 0.5000 (multiplicity 3)

***

R) A relaxed Pr2HoPt crystal. Source: Alexandria, functional PBE-GGA.

Calculated values
- size of the total moment (μB per formula unit) = 0.0
- V (Å³ per cell) = 233

a = 5.112 Å, b = 5.128 Å, c = 8.871 Å
α = 90.00°, β = 90.10°, γ = 90.00°
Space group Cm (No. 8)
One atom of each set of equivalent atoms:
1 Pr 0.000 0.000 0.000 (multiplicity 2)
2 Pr 0.001 0.500 0.312 (multiplicity 2)
3 Ho 0.001 0.000 0.621 (multiplicity 2)
4 Pt 0.001 0.500 0.783 (multiplicity 2)

***

S) A relaxed Pr2HoPt crystal. Source: Alexandria, functional PBE-GGA.

Calculated values
- size of the total moment (μB per formula unit) = 0.0
- V (Å³ per cell) = 521

a = 6.791 Å, b = 6.627 Å, c = 11.570 Å
α = 90.00°, β = 90.00°, γ = 90.00°
Space group Pnna (No. 52)
One atom of each set of equivalent atoms:
1 Pr 0.086 0.234 0.087 (multiplicity 8)
2 Ho 0.059 0.250 0.750 (multiplicity 4)
3 Pt 0.250 0.000 0.596 (multiplicity 4)

***

It is R) that is the most stable of them.

***

P) A relaxed PrHoPt2 crystal. Source: Alexandria, functional PBE-GGA.

Calculated values
- size of the total moment (μB per formula unit) = 0.0
- V (Å³ per cell) = 304

a = 4.0835 Å, b = 4.0835 Å, c = 21.0822 Å
α = 90.00°, β = 90.00°, γ = 120.00°
Space group R3m (No. 160, hexagonal axes)
One atom of each set of equivalent atoms:
1 Pr 0.0000 0.0000 0.0000 (multiplicity 3)
2 Ho 0.0000 0.0000 0.8279 (multiplicity 3)
3 Pt 0.0000 0.0000 0.2428 (multiplicity 3)
4 Pt 0.0000 0.0000 0.4183 (multiplicity 3)

***

Q) A relaxed PrHoPt2 crystal. Source: Alexandria, functional PBE-GGA.

Calculated values
- size of the total moment (μB per formula unit) = 0.0
- V (Å³ per cell) = 188

a = 4.533 Å, b = 3.856 Å, c = 10.746 Å
α = 90.00°, β = 90.00°, γ = 90.00°
Space group Amm2 (No. 38)
One atom of each set of equivalent atoms:
1 Pr 0.000 0.000 0.000 (multiplicity 2)
2 Ho 0.500 0.000 0.275 (multiplicity 2)
3 Pt 0.000 0.000 0.728 (multiplicity 2)
4 Pt 0.500 0.000 0.553 (multiplicity 2)

***

R) A relaxed PrHoPt2 crystal. Source: Alexandria, functional PBE-GGA.

Calculated values
- size of the total moment (μB per formula unit) = 0.0
- V (Å³ per cell) = 90

a = 3.537 Å, b = 3.537 Å, c = 7.185 Å
α = 90.00°, β = 90.00°, γ = 90.00°
Space group P4/mmm (No. 123)
One atom of each set of equivalent atoms:
1 Pr 0.000 0.000 0.000 (multiplicity 1)
2 Ho 0.000 0.000 0.500 (multiplicity 1)
3 Pt 0.500 0.500 0.273 (multiplicity 2)

***

S) A relaxed PrHoPt2 crystal. Source: Alexandria, functional PBE-GGA.

Calculated values
- size of the total moment (μB per formula unit) = 0.0
- V (Å³ per cell) = 362

a = 7.125 Å, b = 7.125 Å, c = 7.125 Å
α = 90.00°, β = 90.00°, γ = 90.00°
Space group Fm-3m (No. 225)
One atom of each set of equivalent atoms:
1 Pr 0.000 0.000 0.000 (multiplicity 4)
2 Ho 0.000 0.000 0.500 (multiplicity 4)
3 Pt 0.250 0.250 0.250 (multiplicity 8)

***

It is Q) that is the most stable of them.

***

P) A relaxed PrHoZnPt crystal. Source: Alexandria, functional PBE-GGA.

Calculated values
- size of the total moment (μB per formula unit) = 0.0
- V (Å³ per cell) = 371

a = 7.187 Å, b = 7.187 Å, c = 7.187 Å
α = 90.00°, β = 90.00°, γ = 90.00°
Space group F-43m (No. 216)
One atom of each set of equivalent atoms:
1 Pr 0.000 0.000 0.000 (multiplicity 4)
2 Ho 0.000 0.000 0.500 (multiplicity 4)
3 Zn 0.250 0.250 0.250 (multiplicity 4)
4 Pt 0.250 0.250 0.750 (multiplicity 4)

***

Q) A relaxed PrHoZnPt crystal. Source: Alexandria, functional PBE-GGA.

Calculated values
- size of the total moment (μB per formula unit) = 0.0
- V (Å³ per cell) = 192

a = 4.435 Å, b = 3.918 Å, c = 11.061 Å
α = 90.00°, β = 90.00°, γ = 90.00°
Space group Amm2 (No. 38)
One atom of each set of equivalent atoms:
1 Pr 0.000 0.000 0.000 (multiplicity 2)
2 Ho 0.500 0.000 0.718 (multiplicity 2)
3 Zn 0.500 0.000 0.427 (multiplicity 2)
4 Pt 0.000 0.000 0.279 (multiplicity 2)

***

It is Q) that is the most stable of them.

***

P) A relaxed PrHo3Rh crystal. Source: Alexandria, functional PBE-GGA.

Calculated values
- size of the total moment (μB per formula unit) = 0.4
- V (Å³ per cell) = 158

a = 5.410 Å, b = 5.410 Å, c = 5.410 Å
α = 90.00°, β = 90.00°, γ = 90.00°
Space group Pm-3m (No. 221)
One atom of each set of equivalent atoms:
1 Pr 0.000 0.000 0.000 (multiplicity 1)
2 Ho 0.000 0.500 0.500 (multiplicity 3)
3 Rh 0.500 0.500 0.500 (multiplicity 1)

***

Q) A relaxed PrHo3Rh crystal. Source: Alexandria, functional PBE-GGA.

Calculated values
- size of the total moment (μB per formula unit) = 0.0
- V (Å³ per cell) = 307

a = 7.574 Å, b = 6.539 Å, c = 6.196 Å
α = 90.00°, β = 90.00°, γ = 90.00°
Space group Pmn2_1 (No. 31)
One atom of each set of equivalent atoms:
1 Pr 0.000 0.144 0.000 (multiplicity 2)
2 Ho 0.000 0.847 0.481 (multiplicity 2)
3 Ho 0.248 0.320 0.492 (multiplicity 4)
4 Rh 0.000 0.510 0.739 (multiplicity 2)

***

It is Q) that is the most stable of them.

***

P) A relaxed PrHo5Rh4 crystal. Source: Alexandria, functional PBE-GGA.

Calculated values
- size of the total moment (μB per formula unit) = 0.0
- V (Å³ per cell) = 503

a = 16.491 Å, b = 4.490 Å, c = 7.075 Å
α = 90.00°, β = 106.29°, γ = 90.00°
Space group C2/m (No. 12)
One atom of each set of equivalent atoms:
1 Pr 0.000 0.000 0.000 (multiplicity 2)
2 Ho 0.000 0.000 0.500 (multiplicity 2)
3 Ho 0.140 0.500 0.759 (multiplicity 4)
4 Ho 0.195 0.500 0.264 (multiplicity 4)
5 Rh 0.037 0.500 0.316 (multiplicity 4)
6 Rh 0.187 0.000 0.002 (multiplicity 4)

***

Q) A relaxed PrHo5Rh4 crystal. Source: Alexandria, functional PBE-GGA.

Calculated values
- size of the total moment (μB per formula unit) = 0.0
- V (Å³ per cell) = 226

a = 3.430 Å, b = 3.430 Å, c = 19.224 Å
α = 90.00°, β = 90.00°, γ = 90.00°
Space group P4/mmm (No. 123)
One atom of each set of equivalent atoms:
1 Pr 0.000 0.000 0.000 (multiplicity 1)
2 Ho 0.500 0.500 0.149 (multiplicity 2)
3 Ho 0.500 0.500 0.323 (multiplicity 2)
4 Ho 0.500 0.500 0.500 (multiplicity 1)
5 Rh 0.000 0.000 0.232 (multiplicity 2)
6 Rh 0.000 0.000 0.411 (multiplicity 2)

***

It is Q) that is the most stable of them.

***

P) A relaxed PrHoZnRh crystal. Source: Alexandria, functional PBE-GGA.

Calculated values
- size of the total moment (μB per formula unit) = 0.0
- V (Å³ per cell) = 361

a = 7.120 Å, b = 7.120 Å, c = 7.120 Å
α = 90.00°, β = 90.00°, γ = 90.00°
Space group F-43m (No. 216)
One atom of each set of equivalent atoms:
1 Pr 0.000 0.000 0.000 (multiplicity 4)
2 Ho 0.000 0.000 0.500 (multiplicity 4)
3 Zn 0.250 0.250 0.250 (multiplicity 4)
4 Rh 0.250 0.250 0.750 (multiplicity 4)

***

Q) A relaxed PrHoZnRh crystal. Source: Alexandria, functional PBE-GGA.

Calculated values
- size of the total moment (μB per formula unit) = 0.0
- V (Å³ per cell) = 188

a = 4.412 Å, b = 3.958 Å, c = 10.785 Å
α = 90.00°, β = 90.00°, γ = 90.00°
Space group Amm2 (No. 38)
One atom of each set of equivalent atoms:
1 Pr 0.000 0.000 0.000 (multiplicity 2)
2 Ho 0.500 0.000 0.719 (multiplicity 2)
3 Zn 0.500 0.000 0.424 (multiplicity 2)
4 Rh 0.000 0.000 0.279 (multiplicity 2)

***

It is Q) that is the most stable of them.

***

P) A relaxed PrHo2Ru crystal. Source: Alexandria, functional PBE-GGA.

Calculated values
- size of the total moment (μB per formula unit) = 0.0
- V (Å³ per cell) = 440

a = 3.914 Å, b = 12.245 Å, c = 9.175 Å
α = 90.00°, β = 90.00°, γ = 90.00°
Space group Cmcm (No. 63)
One atom of each set of equivalent atoms:
1 Pr 0.000 0.073 0.250 (multiplicity 4)
2 Ho 0.000 0.354 0.070 (multiplicity 8)
3 Ru 0.000 0.254 0.750 (multiplicity 4)

***

Q) A relaxed PrHo2Ru crystal. Source: Alexandria, functional PBE-GGA.

Calculated values
- size of the total moment (μB per formula unit) = 0.0
- V (Å³ per cell) = 348

a = 3.5246 Å, b = 3.5246 Å, c = 32.3839 Å
α = 90.00°, β = 90.00°, γ = 120.00°
Space group R-3m (No. 166, hexagonal axes)
One atom of each set of equivalent atoms:
1 Pr 0.0000 0.0000 0.0000 (multiplicity 3)
2 Ho 0.0000 0.0000 0.1090 (multiplicity 6)
3 Ru 0.0000 0.0000 0.5000 (multiplicity 3)

***

It is P) that is the most stable of them.

***

P) A relaxed PrHoRu crystal. Source: Alexandria, functional PBE-GGA.

Calculated values
- size of the total moment (μB per formula unit) = 0.0
- V (Å³ per cell) = 322

a = 8.595 Å, b = 8.595 Å, c = 4.361 Å
α = 90.00°, β = 90.00°, γ = 90.00°
Space group P4_2/m (No. 84)
One atom of each set of equivalent atoms:
1 Pr 0.057 0.717 0.000 (multiplicity 4)
2 Ho 0.331 0.376 0.000 (multiplicity 4)
3 Ru 0.128 0.413 0.500 (multiplicity 4)

***

Q) A relaxed PrHoRu crystal. Source: Alexandria, functional PBE-GGA.

Calculated values
- size of the total moment (μB per formula unit) = 0.0
- V (Å³ per cell) = 159

a = 3.455 Å, b = 3.455 Å, c = 13.342 Å
α = 90.00°, β = 90.00°, γ = 90.00°
Space group I4mm (No. 107)
One atom of each set of equivalent atoms:
1 Pr 0.000 0.000 0.000 (multiplicity 2)
2 Ho 0.000 0.000 0.252 (multiplicity 2)
3 Ru 0.000 0.000 0.635 (multiplicity 2)

***

It is Q) that is the most stable of them.